Record 1
Density functional theory data (PBE) for a geometry-optimized Ca2YRuO6 structure.

Cell and atoms, written as POSCAR:
```
Ca2YRuO6
1.0
5.599 0.000 -0.045
0.000 5.824 0.000
-0.016 0.000 8.059
Y O Ca Ru
2 12 4 2
Cartesian
-0.008 2.912 4.030
2.800 0.000 -0.022
2.165 5.559 5.882
1.599 3.992 0.430
0.611 2.647 6.185
1.192 1.080 3.577
3.418 0.264 2.133
4.973 3.176 1.830
3.792 1.651 4.508
4.391 4.744 4.437
4.583 4.563 7.513
1.791 4.173 3.506
1.000 1.261 0.501
3.984 1.832 7.584
5.495 0.328 5.990
2.703 2.584 1.983
2.881 3.240 6.032
0.089 5.496 2.025
0.000 2.912 0.000
2.792 0.000 4.007
```

Calculated volume = 262.8 Å³ per cell
Crystal system = monoclinic
Uncorrected formation energy = -24.3 eV per formula unit
DOS at the Fermi energy = 0.7 states/eV/cell

=====

Record 2
Density functional theory data (PBE) for a geometry-optimized CaSO4 structure.

Cell and atoms, written as POSCAR:
```
CaSO4
1.0
-4.603 1.881 2.161
-1.986 -6.879 1.756
3.530 0.737 6.879
Ca O S
4 16 4
Cartesian
-2.285 -3.232 8.147
-0.774 -1.030 2.648
0.968 -0.741 6.108
-4.027 -3.520 4.687
-1.640 -5.363 1.474
-3.780 -1.496 3.451
-1.680 -3.249 2.650
0.680 0.244 8.336
0.270 -4.494 4.786
-3.329 0.233 6.010
-3.739 -4.505 2.460
0.721 -2.765 7.344
-1.795 -5.735 4.569
-2.382 1.257 4.032
-1.419 1.102 9.322
-0.676 -5.519 6.763
-1.829 -3.636 5.771
-1.229 -0.625 5.024
-1.264 1.473 6.227
-1.379 -1.013 8.145
-2.462 -4.137 1.757
-2.046 0.602 5.319
-0.597 -0.124 9.038
-1.013 -4.864 5.476
```

Calculated volume = 310.4 Å³ per cell
Crystal system = orthorhombic
Uncorrected formation energy = -12.9 eV per formula unit
DOS at the Fermi energy = 0.0 states/eV/cell

=====

Record 3
Density functional theory data (PBE) for a geometry-optimized CaS3O structure.

Cell and atoms, written as POSCAR:
```
CaS3O
1.0
5.395 0.000 0.000
0.000 5.395 0.000
0.000 0.000 5.395
S O Ca
3 1 1
Cartesian
0.000 0.000 2.697
0.000 2.697 0.000
2.697 0.000 0.000
2.697 2.697 2.697
0.000 0.000 0.000
```

Calculated volume = 157.0 Å³ per cell
Energy above the lowest structure with this stoichiometry = 1013.7 meV/atom
Crystal system = cubic
Uncorrected formation energy = 3.9 eV per formula unit
DOS at the Fermi energy = 4.7 states/eV/cell

=====

Record 4
Density functional theory data (PBE) for a geometry-optimized Ca2SO structure.

Cell and atoms, written as POSCAR:
```
Ca2SO
1.0
2.509 1.794 3.432
-1.769 0.274 4.252
1.613 -2.732 3.350
Ca O S
2 1 1
Cartesian
1.765 -0.498 8.276
0.588 -0.166 2.759
0.000 0.000 0.000
1.177 -0.332 5.517
```

Calculated volume = 69.5 Å³ per cell
Energy above the lowest structure with this stoichiometry = 505.8 meV/atom
Crystal system = cubic
Uncorrected formation energy = -7.7 eV per formula unit
DOS at the Fermi energy = 0.0 states/eV/cell